No. 1
A geometry-optimized Y2MgPt structure, computed with PBE-GGA.

abc: 6.936 4.030 8.617
angles: 90.00 105.79 90.00
Space group C2/m (No. 12)
One atom of each set of equivalent atoms:
Y 0.230 0.000 0.190 [4 per cell]
Mg 0.000 0.000 0.500 [2 per cell]
Pt 0.000 0.500 0.000 [2 per cell]

---

No. 2
A geometry-optimized SrBe2Pb structure, computed with PBE-GGA.

abc: 4.119 4.008 5.815
angles: 90.00 110.58 90.00
Space group Pm (No. 6)
One atom of each set of equivalent atoms:
Sr 0.000 0.000 0.000 [1 per cell]
Be 0.299 0.000 0.597 [1 per cell]
Be 0.352 0.500 0.703 [1 per cell]
Pb 0.711 0.500 0.419 [1 per cell]

---

no.,E (eV/atom),formation energy from the elements (meV per atom),D(E_F) (states/eV per cell)
1,-5.669,-528,7.08
2,-3.040,170,1.20